(1)
## Zr4Ga2Pd (GGA-PBE)

Data for Zr4Ga2Pd after structural relaxation.

Computed properties:
The total magnetic moment is 0.0 μB/f.u. The value obtained for the density of states at the Fermi level is 5.38 states/eV per cell. The energy of formation comes out at 174 kJ/mol of formula units.

Unit cell a=5.054 b=5.054 c=7.595 alpha=70.57 beta=70.57 gamma=90.00
Fractional positions:
Ga 0.394 0.394 0.212
Ga 0.606 0.606 0.788
Zr 0.196 0.196 0.607
Zr 0.804 0.804 0.393
Zr 0.000 0.500 0.000
Zr 0.500 0.000 0.000
Pd 0.000 0.000 0.000

(2)
## Pm2Cu7 (GGA-PBE)

Data for Pm2Cu7 after structural relaxation.

Computed properties:
The total magnetic moment is 0.0 μB/f.u. The value obtained for the density of states at the Fermi level is 14.50 states/eV per cell. The energy of formation comes out at -134 kJ/mol of formula units.

Unit cell a=5.195 b=5.195 c=12.857 alpha=78.34 beta=78.34 gamma=60.00
Fractional positions:
Pm 0.051 0.051 0.848
Pm 0.949 0.949 0.152
Pm 0.148 0.148 0.556
Pm 0.852 0.852 0.444
Cu 0.500 0.500 0.500
Cu 0.279 0.279 0.164
Cu 0.721 0.721 0.836
Cu 0.388 0.388 0.837
Cu 0.612 0.612 0.163
Cu 0.500 0.000 0.000
Cu 0.000 0.500 0.000
Cu 0.500 0.500 0.000
Cu 0.609 0.609 0.674
Cu 0.609 0.109 0.674
Cu 0.109 0.609 0.674
Cu 0.391 0.391 0.326
Cu 0.391 0.891 0.326
Cu 0.891 0.391 0.326

(3)
## MgTiOs2 (GGA-PBE)

Data for MgTiOs2 after structural relaxation.

Computed properties:
The total magnetic moment is 0.0 μB/f.u. The value obtained for the density of states at the Fermi level is 6.27 states/eV per cell. The energy of formation comes out at 255 kJ/mol of formula units.

Unit cell a=4.022 b=4.022 c=9.391 alpha=77.63 beta=77.63 gamma=90.00
Fractional positions:
Mg 0.500 0.500 0.000
Mg 0.250 0.750 0.500
Os 0.699 0.125 0.250
Os 0.051 0.625 0.250
Os 0.375 0.301 0.750
Os 0.875 0.949 0.750
Ti 0.000 0.000 0.000
Ti 0.750 0.250 0.500

(4)
## LaPr3Er6 (GGA-PBE)

Data for LaPr3Er6 after structural relaxation.

Computed properties:
The total magnetic moment is 0.0 μB/f.u. The value obtained for the density of states at the Fermi level is 18.60 states/eV per cell. The energy of formation comes out at 215 kJ/mol of formula units.

Unit cell a=6.596 b=9.658 c=9.593 alpha=139.50 beta=110.11 gamma=90.00
Fractional positions:
La 0.500 0.500 0.000
Pr 0.571 0.944 0.142
Pr 0.429 0.056 0.858
Pr 0.000 0.000 0.000
Er 0.433 0.560 0.372
Er 0.062 0.440 0.628
Er 0.567 0.440 0.628
Er 0.938 0.560 0.372
Er 0.137 0.852 0.274
Er 0.863 0.148 0.726